No. 1
This record from Alexandria describes a relaxed RbSr2Os crystal. The functional is GGA-PBE.

The structure in POSCAR format:
```
RbSr2Os
1.0
0.0000 3.9486 3.9486
3.9486 0.0000 3.9486
3.9486 3.9486 0.0000
Rb Sr Os
1 2 1
direct
0.0000 0.0000 0.0000
0.2500 0.2500 0.2500
0.7500 0.7500 0.7500
0.5000 0.5000 0.5000
```

Properties
- M_tot (μB/cell) = 0.0
- distance to the lowest polymorph of the same formula (meV per atom) = 0
- energy of formation (eV/atom) = 0.8675
- density of states at the Fermi level (states/eV per atom) = 1.001

***

No. 2
This record from Alexandria describes a relaxed BeTcMo2 crystal. The functional is GGA-PBE.

The structure in POSCAR format:
```
BeTcMo2
1.0
2.7643 0.0000 0.0000
0.0000 2.7643 0.0000
0.0000 0.0000 7.2455
Be Tc Mo
1 1 2
direct
0.0000 0.0000 0.0000
0.0000 0.0000 0.5000
0.5000 0.5000 0.2279
0.5000 0.5000 0.7721
```

Properties
- M_tot (μB/cell) = 0.0
- energy of formation (eV/atom) = 0.1745
- density of states at the Fermi level (states/eV per atom) = 1.404

***

No. 3
This record from Alexandria describes a relaxed LaBiPF2 crystal. The functional is GGA-PBE.

The structure in POSCAR format:
```
LaBiPF2
1.0
4.4814 0.0000 0.0000
0.0000 4.4814 0.0000
0.0000 0.0000 6.3108
La Bi P F
1 1 1 2
direct
0.0000 0.0000 0.0000
0.5000 0.5000 0.5000
0.0000 0.0000 0.5000
0.0000 0.5000 0.0000
0.5000 0.0000 0.0000
```

Properties
- M_tot (μB/cell) = 0.6
- density of states at the Fermi level (states/eV per atom) = 0.354
- ΔE_f (raw) (eV/atom) = -2.062

***

No. 4
This record from Alexandria describes a relaxed CsTmBeCl6 crystal. The functional is GGA-PBE.

The structure in POSCAR format:
```
CsTmBeCl6
1.0
6.4817 0.0000 0.0000
-3.2409 5.6133 0.0000
0.0000 0.0000 7.8333
Cs Tm Be Cl
1 1 1 6
direct
0.0000 0.0000 0.0000
0.3333 0.6667 0.5000
0.6667 0.3333 0.5000
0.3900 0.0330 0.3237
0.3900 0.3570 0.6763
0.6430 0.0330 0.6763
0.6430 0.6100 0.3237
0.9670 0.3570 0.3237
0.9670 0.6100 0.6763
```

Properties
- M_tot (μB/cell) = 0.0
- density of states at the Fermi level (states/eV per atom) = 0.000
- ΔE_f (raw) (eV/atom) = -1.836

***

No. 5
This record from Alexandria describes a relaxed CePuScO6 crystal. The functional is GGA-PBE.

The structure in POSCAR format:
```
CePuScO6
1.0
5.0302 0.0000 0.0000
0.0000 5.0302 0.0000
0.0000 0.0000 10.2559
Ce Pu Sc O
2 2 2 12
direct
0.0000 0.0000 0.0000
0.5000 0.5000 0.5000
0.0000 0.0000 0.3372
0.5000 0.5000 0.8372
0.0000 0.0000 0.6712
0.5000 0.5000 0.1712
0.1815 0.1815 0.5029
0.1928 0.1928 0.1797
0.1936 0.1936 0.8283
0.3064 0.6936 0.3283
0.3072 0.6928 0.6797
0.3185 0.6815 0.0029
0.6815 0.3185 0.0029
0.6928 0.3072 0.6797
0.6936 0.3064 0.3283
0.8064 0.8064 0.8283
0.8072 0.8072 0.1797
0.8185 0.8185 0.5029
```

Properties
- M_tot (μB/cell) = 6.0
- density of states at the Fermi level (states/eV per atom) = 1.033
- ΔE_f (raw) (eV/atom) = -3.142

***

No. 6
This record from Alexandria describes a relaxed Sc3GaN crystal. The functional is GGA-PBE.

The structure in POSCAR format:
```
Sc3GaN
1.0
0.0000 5.8710 5.8710
5.8710 0.0000 5.8710
5.8710 5.8710 0.0000
Sc Ga N
12 4 4
direct
0.0659 0.0659 0.6842
0.0659 0.6842 0.0659
0.0659 0.6842 0.6842
0.3158 0.3158 0.9342
0.3158 0.9342 0.3158
0.3158 0.9342 0.9342
0.6842 0.0659 0.0659
0.6842 0.0659 0.6842
0.6842 0.6842 0.0659
0.9342 0.3158 0.3158
0.9342 0.3158 0.9342
0.9342 0.9342 0.3158
0.0000 0.5000 0.5000
0.5000 0.0000 0.5000
0.5000 0.5000 0.0000
0.5000 0.5000 0.5000
0.0000 0.0000 0.0000
0.0000 0.0000 0.5000
0.0000 0.5000 0.0000
0.5000 0.0000 0.0000
```

Properties
- M_tot (μB/cell) = 0.6
- density of states at the Fermi level (states/eV per atom) = 1.461
- ΔE_f (raw) (eV/atom) = -0.661

***

No. 7
This record from Alexandria describes a relaxed B2OsPt crystal. The functional is GGA-PBE.

The structure in POSCAR format:
```
B2OsPt
1.0
-2.3890 2.3890 4.7403
2.3890 -2.3890 4.7403
2.3890 2.3890 -4.7403
B Os Pt
4 2 2
direct
0.1145 0.6250 0.9895
0.3750 0.3645 0.4895
0.6355 0.1250 0.0105
0.8750 0.8855 0.5105
0.0000 0.0000 0.0000
0.7500 0.2500 0.5000
0.2500 0.7500 0.5000
0.5000 0.5000 0.0000
```

Properties
- M_tot (μB/cell) = 0.0
- distance to the lowest polymorph of the same formula (meV per atom) = 0
- energy of formation (eV/atom) = 0.2655
- density of states at the Fermi level (states/eV per atom) = 0.078

***

No. 8
This record from Alexandria describes a relaxed TbSmTm3Th crystal. The functional is GGA-PBE.

The structure in POSCAR format:
```
TbSmTm3Th
1.0
10.6012 0.0000 0.0000
0.0000 3.5507 0.0000
-3.5200 0.0000 10.0061
Tb Sm Tm Th
2 2 6 2
direct
0.1270 0.2500 0.1255
0.8730 0.7500 0.8745
0.3775 0.7500 0.7068
0.6225 0.2500 0.2932
0.1231 0.2500 0.7919
0.1241 0.2500 0.4569
0.3729 0.7500 0.0407
0.6271 0.2500 0.9593
0.8759 0.7500 0.5431
0.8769 0.7500 0.2081
0.3730 0.7500 0.3766
0.6270 0.2500 0.6234
```

Properties
- M_tot (μB/cell) = 0.0
- energy of formation (eV/atom) = 0.0302
- density of states at the Fermi level (states/eV per atom) = 1.400

***

No. 9
This record from Alexandria describes a relaxed PuHgP2Pd5 crystal. The functional is GGA-PBE.

The structure in POSCAR format:
```
PuHgP2Pd5
1.0
4.0978 0.0000 0.0000
0.0000 4.0978 0.0000
0.0000 0.0000 10.7979
Pu Hg P Pd
1 1 2 5
direct
0.0000 0.0000 0.0000
0.0000 0.0000 0.5000
0.5000 0.5000 0.2111
0.5000 0.5000 0.7889
0.0000 0.5000 0.3121
0.0000 0.5000 0.6879
0.5000 0.0000 0.3121
0.5000 0.0000 0.6879
0.5000 0.5000 0.0000
```

Properties
- M_tot (μB/cell) = 5.6
- energy of formation (eV/atom) = -0.3575
- density of states at the Fermi level (states/eV per atom) = 1.907

***

No. 10
This record from Alexandria describes a relaxed KTiAl crystal. The functional is GGA-PBE.

The structure in POSCAR format:
```
KTiAl
1.0
3.1395 0.0000 0.0000
0.0000 4.5856 0.0000
0.6199 1.1114 12.5866
K Ti Al
2 2 2
direct
0.0661 0.2111 0.1604
0.9339 0.7889 0.8396
0.0165 0.6907 0.4160
0.9835 0.3093 0.5840
0.4819 0.8110 0.5925
0.5181 0.1890 0.4075
```

Properties
- M_tot (μB/cell) = 1.4
- distance to the lowest polymorph of the same formula (meV per atom) = 66
- energy of formation (eV/atom) = 0.1371
- density of states at the Fermi level (states/eV per atom) = 0.717

***

No. 11
This record from Alexandria describes a relaxed Sr5Tc2N6 crystal. The functional is GGA-PBE.

The structure in POSCAR format:
```
Sr5Tc2N6
1.0
3.6628 0.0000 0.0000
0.0000 10.4987 0.0000
-3.1126 0.0000 11.8811
Sr Tc N
10 4 12
direct
0.0000 0.0000 0.0000
0.0000 0.5000 0.5000
0.2997 0.1636 0.5139
0.2997 0.3364 0.0139
0.4787 0.5857 0.2467
0.4787 0.9143 0.7467
0.5213 0.0857 0.2533
0.5213 0.4143 0.7533
0.7003 0.6636 0.9861
0.7003 0.8364 0.4861
0.0090 0.6658 0.7659
0.0090 0.8342 0.2659
0.9910 0.1658 0.7341
0.9910 0.3342 0.2341
0.0813 0.6903 0.3712
0.0813 0.8097 0.8712
0.1121 0.5275 0.8706
0.1121 0.9725 0.3706
0.4456 0.6672 0.6943
0.4456 0.8328 0.1943
0.5544 0.1672 0.8057
0.5544 0.3328 0.3057
0.8879 0.0275 0.6294
0.8879 0.4725 0.1294
0.9187 0.1903 0.1288
0.9187 0.3097 0.6288
```

Properties
- M_tot (μB/cell) = 0.0
- density of states at the Fermi level (states/eV per atom) = 0.815
- ΔE_f (raw) (eV/atom) = -0.430